# 1
DFT (PBE) results for an optimized crystal structure of AcYSb2.

## Properties
- Offset from the most stable computed form: 130.3 meV per atom
- Magnetization: 0.000 μB/f.u.

abc: 4.5482 4.5482 23.5191
angles: 90.00 90.00 120.00
Space group R3m (No. 160, hexagonal axes)
Asymmetric unit:
Ac: 0.0000 0.0000 0.0000
Y: 0.0000 0.0000 0.1707
Sb: 0.0000 0.0000 0.4251
Sb: 0.0000 0.0000 0.5798

# 2
DFT (PBE) results for an optimized crystal structure of AcY3Sb2.

## Properties
- Magnetization: 0.529 μB/f.u.

abc: 18.815 4.516 9.774
angles: 90.00 113.49 90.00
Space group C2/m (No. 12)
Asymmetric unit:
Ac: 0.112 0.000 0.129
Y: 0.060 0.000 0.677
Y: 0.143 0.500 0.480
Y: 0.189 0.500 0.889
Sb: 0.014 0.500 0.836
Sb: 0.241 0.000 0.710

# 3
DFT (PBE) results for an optimized crystal structure of AcYSb2.

## Properties
- Offset from the most stable computed form: 332.1 meV per atom
- Magnetization: 0.000 μB/f.u.

abc: 5.883 5.883 3.543
angles: 90.00 90.00 90.00
Space group P4/mmm (No. 123)
Asymmetric unit:
Ac: 0.000 0.000 0.000
Y: 0.500 0.500 0.000
Sb: 0.000 0.500 0.500

# 4
DFT (PBE) results for an optimized crystal structure of AcYSb2.

## Properties
- Offset from the most stable computed form: 306.4 meV per atom
- Magnetization: 0.000 μB/f.u.

abc: 7.914 7.914 7.914
angles: 90.00 90.00 90.00
Space group Fm-3m (No. 225)
Asymmetric unit:
Ac: 0.000 0.000 0.000
Y: 0.000 0.000 0.500
Sb: 0.250 0.250 0.250

# 5
DFT (PBE) results for an optimized crystal structure of AcY2Sb.

## Properties
- Offset from the most stable computed form: 53.4 meV per atom
- Magnetization: 0.000 μB/f.u.

abc: 5.020 5.020 4.884
angles: 90.00 90.00 90.00
Space group P4/mmm (No. 123)
Asymmetric unit:
Ac: 0.000 0.000 0.000
Y: 0.000 0.500 0.500
Sb: 0.500 0.500 0.000

# 6
DFT (PBE) results for an optimized crystal structure of AcYZnSb.

## Properties
- Magnetization: 0.000 μB/f.u.

abc: 7.720 7.720 7.720
angles: 90.00 90.00 90.00
Space group F-43m (No. 216)
Asymmetric unit:
Ac: 0.000 0.000 0.000
Y: 0.000 0.000 0.500
Zn: 0.250 0.250 0.750
Sb: 0.250 0.250 0.250

# 7
DFT (PBE) results for an optimized crystal structure of Ac5Zn3Sb12.

## Properties
- Magnetization: 0.000 μB/f.u.

abc: 18.290 18.290 18.290
angles: 90.00 90.00 90.00
Space group Ia-3d (No. 230)
Asymmetric unit:
Ac: 0.000 0.000 0.000
Ac: 0.000 0.250 0.375
Zn: 0.000 0.250 0.125
Sb: 0.027 0.110 0.651

# 8
DFT (PBE) results for an optimized crystal structure of AcZnSb.

## Properties
- Offset from the most stable computed form: 0.0 meV per atom
- Magnetization: 0.000 μB/f.u.

abc: 4.6031 4.6031 4.7654
angles: 90.00 90.00 120.00
Space group P3m1 (No. 156)
Asymmetric unit:
Ac: 0.0000 0.0000 0.0000
Zn: 0.3333 0.6667 0.3577
Sb: 0.6667 0.3333 0.5338

# 9
DFT (PBE) results for an optimized crystal structure of AcZnSb.

## Properties
- Offset from the most stable computed form: 98.1 meV per atom
- Magnetization: 0.000 μB/f.u.

abc: 4.358 6.045 7.035
angles: 76.76 72.05 90.00
Space group P-1 (No. 2)
Asymmetric unit:
Ac: 0.117 0.299 0.269
Zn: 0.235 0.819 0.029
Sb: 0.397 0.222 0.705

# 10
DFT (PBE) results for an optimized crystal structure of AcZnSb.

## Properties
- Offset from the most stable computed form: 304.9 meV per atom
- Magnetization: 0.001 μB/f.u.

abc: 3.938 3.938 11.135
angles: 90.00 90.00 90.00
Space group I4mm (No. 107)
Asymmetric unit:
Ac: 0.000 0.000 0.000
Zn: 0.000 0.000 0.686
Sb: 0.000 0.000 0.303

# 11
DFT (PBE) results for an optimized crystal structure of AcZnSb2.

## Properties
- Offset from the most stable computed form: 231.7 meV per atom
- Magnetization: 0.000 μB/f.u.

abc: 4.183 4.183 6.600
angles: 90.00 90.00 90.00
Space group P4/mmm (No. 123)
Asymmetric unit:
Ac: 0.000 0.000 0.000
Zn: 0.000 0.000 0.500
Sb: 0.500 0.500 0.279

# 12
DFT (PBE) results for an optimized crystal structure of AcZnSb2.

## Properties
- Offset from the most stable computed form: 109.3 meV per atom
- Magnetization: 0.000 μB/f.u.

abc: 4.753 4.753 4.976
angles: 90.00 90.00 90.00
Space group P4/mmm (No. 123)
Asymmetric unit:
Ac: 0.000 0.000 0.000
Zn: 0.500 0.500 0.000
Sb: 0.000 0.500 0.500

Number 1: ΔE_f (raw) -1041.7 meV/atom. Number 2: ΔE_f (raw) -700.1 meV/atom. Number 3: ΔE_f (raw) -839.9 meV/atom. Number 4: ΔE_f (raw) -865.5 meV/atom. Number 5: ΔE_f (raw) -425.1 meV/atom. Number 6: ΔE_f (raw) -506.5 meV/atom. Number 7: ΔE_f (raw) -178.2 meV/atom. Number 8: ΔE_f (raw) -709.3 meV/atom. Number 9: ΔE_f (raw) -611.2 meV/atom. Number 10: ΔE_f (raw) -404.4 meV/atom. Number 11: ΔE_f (raw) -385.6 meV/atom. Number 12: ΔE_f (raw) -507.9 meV/atom.